1.
Computed, not measured: crystalline RbHf2F at its relaxed geometry at the GGA-PBEsol level of DFT.

Unit cell a=6.9605 b=6.9605 c=6.9605 alpha=90.00 beta=90.00 gamma=90.00
Closest atoms and distances in Å follow each position.
Space group Fm-3m (No. 225)
Unique sites:
Rb 0.0000 0.0000 0.0000 x4  8 Hf 3.01
Hf 0.2500 0.2500 0.2500 x8  4 F 3.01, 4 Rb 3.01
F 0.0000 0.0000 0.5000 x4  8 Hf 3.01

Properties
* uncorrected formation energy: 25.0 kcal/mol of atoms
* VASP energy: -4.90 eV/atom

2.
Computed, not measured: crystalline Ca2CuCl at its relaxed geometry at the GGA-PBEsol level of DFT.

Unit cell a=4.0512 b=6.0553 c=8.1726 alpha=90.00 beta=90.00 gamma=90.00
Closest atoms and distances in Å follow each position.
Space group Immm (No. 71)
Unique sites:
Ca 0.0000 0.0000 0.2359 x4  2 Cl 2.80, 2 Cu 2.96
Cu 0.0000 0.5000 0.0000 x2  4 Ca 2.96
Cl 0.0000 0.5000 0.5000 x2  4 Ca 2.80

Properties
* uncorrected formation energy: -13.0 kcal/mol of atoms
* excess energy over the best structure of this formula in the dataset: 0.93 eV/f.u.
* VASP energy: -3.22 eV/atom

3.
Computed, not measured: crystalline YScW4 at its relaxed geometry at the GGA-PBEsol level of DFT.

Unit cell a=7.6545 b=7.6545 c=7.6545 alpha=90.00 beta=90.00 gamma=90.00
Closest atoms and distances in Å follow each position.
Space group F-43m (No. 216)
Unique sites:
Y 0.0000 0.0000 0.0000 x4  12 W 3.17, 4 Sc 3.31
Sc 0.2500 0.2500 0.7500 x4  12 W 3.17, 4 Y 3.31
W 0.1250 0.1250 0.3750 x16  6 W 2.71

Properties
* VASP energy: -11.32 eV/atom
* energy of formation from the pure elements: 0.121 eV/atom

4.
Computed, not measured: crystalline RbSbO2F at its relaxed geometry at the GGA-PBEsol level of DFT.

Unit cell a=4.3945 b=4.3945 c=4.6045 alpha=90.00 beta=90.00 gamma=90.00
Closest atoms and distances in Å follow each position.
Space group P4/mmm (No. 123)
Unique sites:
Rb 0.0000 0.0000 0.0000 x1  4 O 2.20, 2 F 2.30
Sb 0.5000 0.5000 0.5000 x1  4 F 3.11, 8 O 3.18
O 0.0000 0.5000 0.0000 x2  2 Rb 2.20
F 0.0000 0.0000 0.5000 x1  2 Rb 2.30

Properties
* uncorrected formation energy: 5.3 kcal/mol of atoms
* VASP energy: -3.37 eV/atom

5.
Computed, not measured: crystalline Be2PRuPt at its relaxed geometry at the GGA-PBEsol level of DFT.

Unit cell a=3.9577 b=3.9577 c=4.4687 alpha=90.00 beta=90.00 gamma=90.00
Closest atoms and distances in Å follow each position.
Space group P4/mmm (No. 123)
Unique sites:
Be 0.0000 0.5000 0.0000 x2  2 P 1.98
P 0.0000 0.0000 0.0000 x1  4 Be 1.98
Ru 0.5000 0.5000 0.5000 x1  4 Pt 2.80, 8 Be 2.98
Pt 0.0000 0.0000 0.5000 x1  2 P 2.23

Properties
* VASP energy: -5.43 eV/atom
* energy of formation from the pure elements: 0.752 eV/atom

6.
Computed, not measured: crystalline Ca3Si8P14 at its relaxed geometry at the GGA-PBEsol level of DFT.

Unit cell a=12.0630 b=13.3300 c=6.1867 alpha=90.00 beta=91.20 gamma=90.00
Closest atoms and distances in Å follow each position.
Space group P2_1/c (No. 14)
Unique sites:
Ca 0.0000 0.0000 0.0000 x2  8 P 2.89-3.09
Ca 0.3339 0.1599 0.8170 x4  6 P 2.90-3.22
Si 0.0865 0.1879 0.4639 x4  3 P 2.23-2.24, 1 Si 2.36
Si 0.1095 0.6867 0.0440 x4  3 P 2.25-2.26, 1 Si 2.36
Si 0.3455 0.5444 0.8819 x4  4 P 2.25-2.28
Si 0.3495 0.6869 0.3838 x4  4 P 2.24-2.27
P 0.1425 0.0518 0.6479 x4  1 P 2.19, 1 Si 2.24
P 0.1506 0.1743 0.1279 x4  2 Si 2.23-2.24
P 0.1590 0.5466 0.8674 x4  1 P 2.19, 2 Si 2.25
P 0.1653 0.6690 0.3930 x4  3 Si 2.24-2.26
P 0.4082 0.1086 0.2862 x4  1 P 2.23, 1 Si 2.26
P 0.4188 0.5501 0.2251 x4  1 P 2.23, 2 Si 2.24-2.28
P 0.4265 0.6786 0.7189 x4  3 Si 2.26-2.28

Properties
* uncorrected formation energy: -9.4 kcal/mol of atoms
* VASP energy: -5.75 eV/atom